(1)
The following is a GGA-PBE calculation of Li2Ca2Ge after structural relaxation, from Alexandria via LeMat-Bulk.

Values from the calculation:
Space group: P4/mbm, No. 127
Size of the total moment in μB/f.u.: 0.00
DOS(E_F) in states/eV/atom: 0.456

Unit cell a=6.9993 b=6.9993 c=4.8303 alpha=90.00 beta=90.00 gamma=90.00
Closest atoms and distances in Å follow each position.
Positions (direct):
Ge: 0.0000 0.0000 0.0000  4 Li 2.73
Ge: 0.5000 0.5000 0.0000  4 Li 2.73
Ca: 0.1996 0.6996 0.5000  2 Li 2.93
Ca: 0.6996 0.8004 0.5000  2 Li 2.93
Ca: 0.8004 0.3004 0.5000  2 Li 2.93
Ca: 0.3004 0.1996 0.5000  2 Li 2.93
Li: 0.3666 0.8666 0.0000  1 Li 2.64, 2 Ge 2.73, 2 Ca 2.93
Li: 0.8666 0.6334 0.0000  1 Li 2.64, 2 Ge 2.73, 2 Ca 2.93
Li: 0.6334 0.1334 0.0000  1 Li 2.64, 2 Ge 2.73, 2 Ca 2.93
Li: 0.1334 0.3666 0.0000  1 Li 2.64, 2 Ge 2.73, 2 Ca 2.93

(2)
The following is a GGA-PBE calculation of Li2Ca2Ge after structural relaxation, from Alexandria via LeMat-Bulk.

Values from the calculation:
Space group: I4/mmm, No. 139
Size of the total moment in μB/f.u.: 0.00
DOS(E_F) in states/eV/atom: 0.521

Unit cell a=3.6984 b=3.6984 c=10.0067 alpha=79.35 beta=79.35 gamma=90.00
Closest atoms and distances in Å follow each position.
Positions (direct):
Ge: 0.0000 0.0000 0.0000  8 Ca 3.15
Ca: 0.4089 0.4089 0.1823  4 Ge 3.15, 1 Ca 3.52
Ca: 0.5911 0.5911 0.8177  4 Ge 3.15, 1 Ca 3.52
Li: 0.7500 0.2500 0.5000  4 Li 2.62
Li: 0.2500 0.7500 0.5000  4 Li 2.62

Which one sits at the bottom of the stability order? (2) does.

(1)
The following is a GGA-PBE calculation of Li2CaGe2 after structural relaxation, from Alexandria via LeMat-Bulk.

Values from the calculation:
Space group: P4/mbm, No. 127
Size of the total moment in μB/f.u.: 0.15
DOS(E_F) in states/eV/atom: 0.552

Unit cell a=7.7283 b=7.7283 c=3.3817 alpha=90.00 beta=90.00 gamma=90.00
Closest atoms and distances in Å follow each position.
Positions (direct):
Ge: 0.3817 0.8817 0.0000  1 Ge 2.59, 6 Li 2.83-2.86
Ge: 0.8817 0.6183 0.0000  1 Ge 2.59, 6 Li 2.83-2.86
Ge: 0.6183 0.1183 0.0000  1 Ge 2.59, 6 Li 2.83-2.86
Ge: 0.1183 0.3817 0.0000  1 Ge 2.59, 6 Li 2.83-2.86
Ca: 0.0000 0.0000 0.0000  4 Ge 3.09, 8 Li 3.33, 2 Ca 3.38
Ca: 0.5000 0.5000 0.0000  4 Ge 3.09, 8 Li 3.33, 2 Ca 3.38
Li: 0.1704 0.6704 0.5000  6 Ge 2.83-2.86
Li: 0.6704 0.8296 0.5000  6 Ge 2.83-2.86
Li: 0.8296 0.3296 0.5000  6 Ge 2.83-2.86
Li: 0.3296 0.1704 0.5000  6 Ge 2.83-2.86

(2)
The following is a GGA-PBE calculation of Li2CaGe2 after structural relaxation, from Alexandria via LeMat-Bulk.

Values from the calculation:
Space group: I4/mmm, No. 139
Size of the total moment in μB/f.u.: 0.00
DOS(E_F) in states/eV/atom: 0.305

Unit cell a=4.1830 b=4.1830 c=6.5007 alpha=71.23 beta=71.23 gamma=90.00
Closest atoms and distances in Å follow each position.
Positions (direct):
Ge: 0.3961 0.3961 0.2078  1 Ge 2.41, 4 Li 2.69
Ge: 0.6039 0.6039 0.7922  1 Ge 2.41, 4 Li 2.69
Ca: 0.0000 0.0000 0.0000  8 Ge 3.19, 8 Li 3.57
Li: 0.7500 0.2500 0.5000  4 Ge 2.69, 4 Li 2.96
Li: 0.2500 0.7500 0.5000  4 Ge 2.69, 4 Li 2.96

Which one sits at the bottom of the stability order? (1) does.

(1)
The following is a GGA-PBE calculation of Li3CaGe after structural relaxation, from Alexandria via LeMat-Bulk.

Values from the calculation:
Space group: Pm-3m, No. 221
Size of the total moment in μB/f.u.: 0.00
DOS(E_F) in states/eV/atom: 0.485

Unit cell a=5.2198 b=5.2198 c=5.2198 alpha=90.00 beta=90.00 gamma=90.00
Closest atoms and distances in Å follow each position.
Positions (direct):
Ge: 0.5000 0.5000 0.5000  12 Li 3.69
Ca: 0.0000 0.0000 0.0000  6 Li 2.61
Li: 0.0000 0.5000 0.0000  2 Ca 2.61
Li: 0.0000 0.0000 0.5000  2 Ca 2.61
Li: 0.5000 0.0000 0.0000  2 Ca 2.61

(2)
The following is a GGA-PBE calculation of Li3CaGe after structural relaxation, from Alexandria via LeMat-Bulk.

Values from the calculation:
Space group: Pm-3m, No. 221
Size of the total moment in μB/f.u.: 0.00
DOS(E_F) in states/eV/atom: 0.352

Unit cell a=4.8475 b=4.8475 c=4.8475 alpha=90.00 beta=90.00 gamma=90.00
Closest atoms and distances in Å follow each position.
Positions (direct):
Ge: 0.0000 0.0000 0.0000  6 Li 2.42
Ca: 0.5000 0.5000 0.5000  12 Li 3.43
Li: 0.0000 0.5000 0.0000  2 Ge 2.42
Li: 0.0000 0.0000 0.5000  2 Ge 2.42
Li: 0.5000 0.0000 0.0000  2 Ge 2.42

Which one sits at the bottom of the stability order? (1) does.

(1)
The following is a GGA-PBE calculation of Li2CaGe4 after structural relaxation, from Alexandria via LeMat-Bulk.

Values from the calculation:
Space group: I4/mmm, No. 139
Size of the total moment in μB/f.u.: 0.00
DOS(E_F) in states/eV/atom: 0.429

Unit cell a=5.7330 b=5.6229 c=5.6229 alpha=74.94 beta=59.35 gamma=59.35
Closest atoms and distances in Å follow each position.
Positions (direct):
Li: 0.7500 0.5000 0.5000  8 Ge 2.86, 2 Li 2.87
Li: 0.2500 0.5000 0.5000  8 Ge 2.86, 2 Li 2.87
Ca: 0.0000 0.0000 0.0000  4 Ge 2.96
Ge: 0.6945 0.0000 0.6109  2 Ge 2.66, 4 Li 2.86, 1 Ca 2.96
Ge: 0.3055 0.0000 0.3891  2 Ge 2.66, 4 Li 2.86, 1 Ca 2.96
Ge: 0.3055 0.3891 0.0000  2 Ge 2.66, 4 Li 2.86, 1 Ca 2.96
Ge: 0.6945 0.6109 0.0000  2 Ge 2.66, 4 Li 2.86, 1 Ca 2.96

(2)
The following is a GGA-PBE calculation of Li2CaGe4 after structural relaxation, from Alexandria via LeMat-Bulk.

Values from the calculation:
Space group: I4/mmm, No. 139
Size of the total moment in μB/f.u.: 0.00
DOS(E_F) in states/eV/atom: 0.999

Unit cell a=5.2866 b=5.2866 c=7.8315 alpha=70.27 beta=70.27 gamma=90.00
Closest atoms and distances in Å follow each position.
Positions (direct):
Ge: 0.7945 0.7945 0.4110  1 Li 2.66, 1 Ca 2.83
Ge: 0.2055 0.2055 0.5890  1 Li 2.66, 1 Ca 2.83
Ge: 0.0000 0.5000 0.0000  2 Ca 2.64
Ge: 0.5000 0.0000 0.0000  2 Ca 2.64
Ca: 0.0000 0.0000 0.0000  6 Ge 2.64-2.83
Li: 0.6013 0.6013 0.7974  1 Ge 2.66, 1 Li 2.79
Li: 0.3987 0.3987 0.2026  1 Ge 2.66, 1 Li 2.79

Which one sits at the bottom of the stability order? (2) does.

(1)
The following is a GGA-PBE calculation of LiCaNiGe after structural relaxation, from Alexandria via LeMat-Bulk.

Values from the calculation:
Space group: R3m, No. 160
Size of the total moment in μB/f.u.: 0.00
DOS(E_F) in states/eV/atom: 0.676

Unit cell a=4.1817 b=4.1830 c=5.4823 alpha=112.40 beta=90.00 gamma=119.99
Closest atoms and distances in Å follow each position.
Positions (direct):
Li: 0.8223 0.6445 0.1091  3 Ge 2.57, 3 Ni 2.60
Ca: 0.6244 0.2488 0.5153  4 Li 2.92-3.14, 4 Ni 2.96-3.11, 3 Ge 3.16
Ni: 0.4238 0.8476 0.9133  3 Ge 2.42, 3 Li 2.60
Ge: 0.0958 0.1917 0.9297  3 Ni 2.42, 3 Li 2.57

(2)
The following is a GGA-PBE calculation of LiCaNiGe after structural relaxation, from Alexandria via LeMat-Bulk.

Values from the calculation:
Space group: F-43m, No. 216
Size of the total moment in μB/f.u.: 0.00
DOS(E_F) in states/eV/atom: 0.907

Unit cell a=4.5175 b=4.5175 c=4.5175 alpha=60.00 beta=60.00 gamma=60.00
Closest atoms and distances in Å follow each position.
Positions (direct):
Ni: 0.2500 0.2500 0.2500  4 Ge 2.77, 4 Ca 2.77
Ge: 0.0000 0.0000 0.0000  4 Li 2.77, 4 Ni 2.77
Ca: 0.5000 0.5000 0.5000  4 Ni 2.77, 4 Li 2.77
Li: 0.7500 0.7500 0.7500  4 Ge 2.77, 4 Ca 2.77

Which one sits at the bottom of the stability order? (2) does.

(1)
The following is a GGA-PBE calculation of LiCaGePd after structural relaxation, from Alexandria via LeMat-Bulk.

Values from the calculation:
Space group: Amm2, No. 38
Size of the total moment in μB/f.u.: 0.00
DOS(E_F) in states/eV/atom: 0.312

Unit cell a=4.4390 b=3.9833 c=5.3422 alpha=111.89 beta=90.00 gamma=90.00
Closest atoms and distances in Å follow each position.
Positions (direct):
Li: 0.0000 0.9132 0.8264  3 Ge 2.76-3.05
Ca: 0.5000 0.2114 0.4228  3 Pd 2.84-2.91, 4 Ge 3.16
Ge: 0.0000 0.6055 0.2110  2 Pd 2.46, 2 Li 2.76
Pd: 0.5000 0.4977 0.9954  2 Ge 2.46

(2)
The following is a GGA-PBE calculation of LiCaGePd after structural relaxation, from Alexandria via LeMat-Bulk.

Values from the calculation:
Space group: F-43m, No. 216
Size of the total moment in μB/f.u.: 0.00
DOS(E_F) in states/eV/atom: 0.622

Unit cell a=4.6624 b=4.6624 c=4.6624 alpha=60.00 beta=60.00 gamma=60.00
Closest atoms and distances in Å follow each position.
Positions (direct):
Ge: 0.2500 0.2500 0.2500  4 Li 2.86, 4 Pd 2.86
Ca: 0.7500 0.7500 0.7500  4 Li 2.86, 4 Pd 2.86
Pd: 0.0000 0.0000 0.0000  4 Ca 2.86, 4 Ge 2.86
Li: 0.5000 0.5000 0.5000  4 Ca 2.86, 4 Ge 2.86

Which one sits at the bottom of the stability order? (1) does.

(1)
The following is a GGA-PBE calculation of CaMg3Ge2 after structural relaxation, from Alexandria via LeMat-Bulk.

Values from the calculation:
Space group: C2/m, No. 12
Size of the total moment in μB/f.u.: 0.00
DOS(E_F) in states/eV/atom: 0.285

Unit cell a=4.3545 b=8.9061 c=8.3326 alpha=118.45 beta=90.00 gamma=104.15
Closest atoms and distances in Å follow each position.
Positions (direct):
Ca: 0.8619 0.7239 0.9265  6 Ge 3.17-3.46
Ca: 0.1381 0.2761 0.0735  6 Ge 3.17-3.46
Mg: 0.3184 0.6368 0.5496  4 Ge 2.75-2.93, 5 Mg 2.98-3.06
Mg: 0.9552 0.9104 0.6165  3 Ge 2.72-2.83, 1 Mg 3.02
Mg: 0.6092 0.2185 0.7101  3 Ge 2.71-2.81, 1 Mg 2.98
Mg: 0.3908 0.7815 0.2899  3 Ge 2.71-2.81, 1 Mg 2.98
Mg: 0.0448 0.0896 0.3835  3 Ge 2.72-2.83, 1 Mg 3.02
Mg: 0.6816 0.3632 0.4504  4 Ge 2.75-2.93, 5 Mg 2.98-3.06
Ge: 0.4922 0.9844 0.8380  1 Ge 2.58, 4 Mg 2.71-2.77
Ge: 0.5078 0.0156 0.1620  1 Ge 2.58, 4 Mg 2.71-2.77
Ge: 0.7883 0.5766 0.2908  6 Mg 2.75-2.93
Ge: 0.2117 0.4234 0.7092  6 Mg 2.75-2.93

(2)
The following is a GGA-PBE calculation of CaMg3Ge2 after structural relaxation, from Alexandria via LeMat-Bulk.

Values from the calculation:
Space group: C2/m, No. 12
Size of the total moment in μB/f.u.: 0.00
DOS(E_F) in states/eV/atom: 0.330

Unit cell a=4.2745 b=9.2315 c=10.9470 alpha=103.99 beta=90.00 gamma=103.39
Closest atoms and distances in Å follow each position.
Positions (direct):
Ca: 0.1520 0.3039 0.6990  6 Ge 3.27-3.55, 5 Mg 3.39-3.60
Ca: 0.8480 0.6961 0.3010  6 Ge 3.27-3.55, 5 Mg 3.39-3.60
Ca: 0.0000 0.0000 0.0000  6 Ge 3.27-3.51, 6 Mg 3.48-3.64
Mg: 0.0415 0.0831 0.3426  4 Ge 2.79-2.91, 5 Mg 2.96-3.13
Mg: 0.9585 0.9169 0.6574  4 Ge 2.79-2.91, 5 Mg 2.96-3.13
Mg: 0.2151 0.4302 0.3926  4 Ge 2.64-2.75
Mg: 0.7849 0.5698 0.6074  4 Ge 2.64-2.75
Mg: 0.6214 0.2427 0.2096  4 Ge 2.77-2.83, 1 Mg 3.02
Mg: 0.3786 0.7573 0.7904  4 Ge 2.77-2.83, 1 Mg 3.02
Mg: 0.5000 0.0000 0.5000  2 Ge 2.64, 4 Mg 2.96
Mg: 0.3227 0.6455 0.0289  4 Ge 2.76-2.78, 1 Mg 3.02
Mg: 0.6773 0.3545 0.9711  4 Ge 2.76-2.78, 1 Mg 3.02
Ge: 0.1986 0.3972 0.1379  6 Mg 2.73-2.78
Ge: 0.8014 0.6028 0.8621  6 Mg 2.73-2.78
Ge: 0.4631 0.9261 0.2038  4 Mg 2.76-2.83
Ge: 0.5369 0.0739 0.7962  4 Mg 2.76-2.83
Ge: 0.3585 0.7171 0.5302  7 Mg 2.64-2.91
Ge: 0.6415 0.2829 0.4698  7 Mg 2.64-2.91

Which one sits at the bottom of the stability order? (1) does.

(1)
The following is a GGA-PBE calculation of CaGe3Mo after structural relaxation, from Alexandria via LeMat-Bulk.

Values from the calculation:
Space group: Pm-3m, No. 221
Size of the total moment in μB/f.u.: 0.00
DOS(E_F) in states/eV/atom: 0.563

Unit cell a=4.9137 b=4.9137 c=4.9137 alpha=90.00 beta=90.00 gamma=90.00
Closest atoms and distances in Å follow each position.
Positions (direct):
Mo: 0.0000 0.0000 0.0000  6 Ge 2.46
Ca: 0.5000 0.5000 0.5000  12 Ge 3.47
Ge: 0.0000 0.5000 0.0000  2 Mo 2.46
Ge: 0.0000 0.0000 0.5000  2 Mo 2.46
Ge: 0.5000 0.0000 0.0000  2 Mo 2.46

(2)
The following is a GGA-PBE calculation of CaGe3Mo after structural relaxation, from Alexandria via LeMat-Bulk.

Values from the calculation:
Space group: Pm-3m, No. 221
Size of the total moment in μB/f.u.: 0.00
DOS(E_F) in states/eV/atom: 1.890

Unit cell a=5.0319 b=5.0319 c=5.0319 alpha=90.00 beta=90.00 gamma=90.00
Closest atoms and distances in Å follow each position.
Positions (direct):
Mo: 0.5000 0.5000 0.5000  12 Ge 3.56
Ca: 0.0000 0.0000 0.0000  6 Ge 2.52
Ge: 0.0000 0.5000 0.0000  2 Ca 2.52
Ge: 0.0000 0.0000 0.5000  2 Ca 2.52
Ge: 0.5000 0.0000 0.0000  2 Ca 2.52

Which one sits at the bottom of the stability order? (2) does.